Density functional theory data (GGA-PBE) for an optimized crystal structure of GdYZnSi.

Cell: 5.0058 5.0058 5.0058 Å, 60.00 60.00 60.00°
Positions (direct):
Gd  0.0000  0.0000  0.0000
Y  0.5000  0.5000  0.5000
Zn  0.2500  0.2500  0.2500
Si  0.7500  0.7500  0.7500

Raw total energy ... -7.282 eV per atom
Space group ... F-43m (216)
Raw formation energy ... -472 meV per atom